(1)
A relaxed structure of CrTc2As2. Source: the Alexandria database, functional PBE.

Properties
- calculated volume (Å³ per cell) = 152
- total magnetization (μB/cell) = 6.84
- density of states at the Fermi level (states/eV/atom) = 0.9524
- E_form (eV/atom) = 0.14

Unit cell a=7.1139 b=7.1139 c=3.0079 alpha=90.00 beta=90.00 gamma=90.00
With the nearest neighbours (Å) after each atom.
Element x y z (fractional)
Cr 0.0000 0.0000 0.0000  4 As 2.70, 2 Cr 3.01
Cr 0.5000 0.5000 0.0000  4 As 2.70, 2 Cr 3.01
As 0.3477 0.8477 0.0000  6 Tc 2.52-2.61, 2 Cr 2.70
As 0.8477 0.6523 0.0000  6 Tc 2.52-2.61, 2 Cr 2.70
As 0.6523 0.1523 0.0000  6 Tc 2.52-2.61, 2 Cr 2.70
As 0.1523 0.3477 0.0000  6 Tc 2.52-2.61, 2 Cr 2.70
Tc 0.1467 0.6467 0.5000  6 As 2.52-2.61
Tc 0.6467 0.8533 0.5000  6 As 2.52-2.61
Tc 0.8533 0.3533 0.5000  6 As 2.52-2.61
Tc 0.3533 0.1467 0.5000  6 As 2.52-2.61



(2)
A relaxed structure of Sm7Bi3. Source: the Alexandria database, functional PBE.

Properties
- calculated volume (Å³ per cell) = 307
- total magnetization (μB/cell) = 0.00
- density of states at the Fermi level (states/eV/atom) = 1.2430
- E_form (eV/atom) = -0.48

Unit cell a=4.9303 b=7.0308 c=9.5040 alpha=104.37 beta=105.03 gamma=90.00
With the nearest neighbours (Å) after each atom.
Element x y z (fractional)
Sm 0.0000 0.5000 0.0000  4 Bi 3.33-3.52, 8 Sm 3.42-3.66
Sm 0.7928 0.8794 0.5855  5 Bi 3.33-3.69, 7 Sm 3.50-3.62
Sm 0.2072 0.1206 0.4145  5 Bi 3.33-3.69, 7 Sm 3.50-3.62
Sm 0.6152 0.3239 0.2303  5 Bi 3.32-3.64, 7 Sm 3.50-3.66
Sm 0.3848 0.6761 0.7697  5 Bi 3.32-3.64, 7 Sm 3.50-3.66
Sm 0.5903 0.8091 0.1807  8 Sm 3.42-3.65, 4 Bi 3.43-3.47
Sm 0.4097 0.1909 0.8193  8 Sm 3.42-3.65, 4 Bi 3.43-3.47
Bi 0.0000 0.0000 0.0000  12 Sm 3.43-3.68
Bi 0.8122 0.3696 0.6244  10 Sm 3.32-3.69
Bi 0.1878 0.6304 0.3756  10 Sm 3.32-3.69



(3)
A relaxed structure of AlGaAs2Au. Source: the Alexandria database, functional PBE.

Properties
- calculated volume (Å³ per cell) = 128
- total magnetization (μB/cell) = 0.00
- density of states at the Fermi level (states/eV/atom) = 0.8086
- E_form (eV/atom) = 0.65

Unit cell a=5.1582 b=4.8190 c=5.1582 alpha=90.00 beta=90.00 gamma=90.00
With the nearest neighbours (Å) after each atom.
Element x y z (fractional)
As 0.0000 0.0000 0.5000  2 Au 2.58
As 0.5000 0.0000 0.0000  2 Au 2.58
Au 0.0000 0.0000 0.0000  2 Ga 2.41, 4 As 2.58
Al 0.5000 0.5000 0.5000  8 As 3.53, 4 Ga 3.65
Ga 0.0000 0.5000 0.0000  2 Au 2.41



(4)
A relaxed structure of Na3CoS. Source: the Alexandria database, functional PBE.

Properties
- calculated volume (Å³ per cell) = 148
- total magnetization (μB/cell) = 2.00
- density of states at the Fermi level (states/eV/atom) = 0.8555
- ΔE_f (raw) (meV per atom) = 127

Unit cell a=5.2928 b=5.2928 c=5.2928 alpha=90.00 beta=90.00 gamma=90.00
With the nearest neighbours (Å) after each atom.
Element x y z (fractional)
Na 0.0000 0.5000 0.0000  2 S 2.65
Na 0.0000 0.0000 0.5000  2 S 2.65
Na 0.5000 0.0000 0.0000  2 S 2.65
S 0.0000 0.0000 0.0000  6 Na 2.65
Co 0.5000 0.5000 0.5000  12 Na 3.74



(5)
A relaxed structure of ReAg. Source: the Alexandria database, functional PBE.

Properties
- calculated volume (Å³ per cell) = 65
- total magnetization (μB/cell) = 0.00
- density of states at the Fermi level (states/eV/atom) = 1.0645
- E_form (eV/atom) = 0.82

Unit cell a=4.5021 b=4.5021 c=4.5021 alpha=60.00 beta=60.00 gamma=60.00
With the nearest neighbours (Å) after each atom.
Element x y z (fractional)
Re 0.2500 0.2500 0.2500  4 Re 2.76, 4 Ag 2.76
Re 0.5000 0.5000 0.5000  4 Re 2.76, 4 Ag 2.76
Ag 0.0000 0.0000 0.0000  4 Ag 2.76, 4 Re 2.76
Ag 0.7500 0.7500 0.7500  4 Re 2.76, 4 Ag 2.76



(6)
A relaxed structure of SiAs2CSe. Source: the Alexandria database, functional PBE.

Properties
- calculated volume (Å³ per cell) = 108
- total magnetization (μB/cell) = 1.08
- density of states at the Fermi level (states/eV/atom) = 0.8783
- ΔE_f (raw) (meV per atom) = 1858

Unit cell a=4.7672 b=4.7672 c=4.7342 alpha=90.00 beta=90.00 gamma=90.00
With the nearest neighbours (Å) after each atom.
Element x y z (fractional)
C 0.5000 0.5000 0.5000  8 As 3.36, 4 Se 3.37
As 0.0000 0.5000 0.0000  2 Si 2.38
As 0.5000 0.0000 0.0000  2 Si 2.38
Si 0.0000 0.0000 0.0000  2 Se 2.37, 4 As 2.38
Se 0.0000 0.0000 0.5000  2 Si 2.37